Entry from Alexandria via LeMat-Bulk: crystalline Cu2AgHg at its relaxed geometry (PBE).

Computed properties:
energy = -2.056 eV per atom
DFT formation energy = 0.781 eV/atom
V = 405.0 Å³/cell

Lattice parameters (Å, degrees): 5.892 5.892 11.665 90.00 90.00 90.00
Space group I-42d (No. 122)
Asymmetric unit:
Cu 0.240 0.250 0.125 x8
Ag 0.000 0.000 0.000 x4
Hg 0.000 0.000 0.500 x4